Entry A
First-principles (PBE) data for crystalline NaSmInPb at its relaxed geometry, as listed in Alexandria.

For the volume, the calculation gives 28.17 A^3/atom.

The space group is F-43m (No. 216) and the conventional cell measures 7.668, 7.668 and 7.668 Å, with angles of 90.00, 90.00 and 90.00 degrees. The inequivalent atoms are Na at (0.000, 0.000, 0.000), Sm at (0.000, 0.000, 0.500), In at (0.250, 0.250, 0.750) and Pb at (0.250, 0.250, 0.250).

=====

Entry B
First-principles (PBE) data for crystalline NaSmInPb at its relaxed geometry, as listed in Alexandria.

For the volume, the calculation gives 27.35 A^3/atom.

The space group is Pmmm (No. 47) and the conventional cell measures 4.558, 4.835 and 4.963 Å, with angles of 90.00, 90.00 and 90.00 degrees. The inequivalent atoms are Na at (0.000, 0.000, 0.000), Sm at (0.000, 0.500, 0.500), In at (0.500, 0.500, 0.000) and Pb at (0.500, 0.000, 0.500).

=====

Quick look at relative energies in eV/atom: entry A 0.062; entry B 0.000.

=====

Entry A
First-principles (PBE) data for crystalline NaIn2Pd2 at its relaxed geometry, as listed in Alexandria.

For the volume, the calculation gives 19.73 A^3/atom.

The space group is P4/mbm (No. 127) and the conventional cell measures 7.882, 7.882 and 3.177 Å, with angles of 90.00, 90.00 and 90.00 degrees. The inequivalent atoms are Na at (0.000, 0.000, 0.000), In at (0.156, 0.344, 0.500) and Pd at (0.140, 0.640, 0.000).

=====

Entry B
First-principles (PBE) data for crystalline NaIn2Pd2 at its relaxed geometry, as listed in Alexandria.

For the volume, the calculation gives 19.84 A^3/atom.

The space group is P4/mbm (No. 127) and the conventional cell measures 8.053, 8.053 and 3.059 Å, with angles of 90.00, 90.00 and 90.00 degrees. The inequivalent atoms are Na at (0.000, 0.000, 0.000), In at (0.141, 0.359, 0.000) and Pd at (0.156, 0.656, 0.500).

=====

Quick look at relative energies in eV/atom: entry A 0.000; entry B 0.026.

=====

Entry A
First-principles (PBE) data for crystalline Na2In6Pd at its relaxed geometry, as listed in Alexandria.

For the volume, the calculation gives 25.79 A^3/atom.

The space group is P-62m (No. 189) and the conventional cell measures 8.7331, 8.7331 and 3.5137 Å, with angles of 90.00, 90.00 and 120.00 degrees. The inequivalent atoms are Na at (0.3333, 0.6667, 0.0000), In at (0.0000, 0.3497, 0.5000), In at (0.0000, 0.7448, 0.0000) and Pd at (0.0000, 0.0000, 0.5000).

=====

Entry B
First-principles (PBE) data for crystalline Na2In6Pd at its relaxed geometry, as listed in Alexandria.

For the volume, the calculation gives 25.94 A^3/atom.

The space group is P-3m1 (No. 164) and the conventional cell measures 6.7149, 6.7149 and 5.9791 Å, with angles of 90.00, 90.00 and 120.00 degrees. The inequivalent atoms are Na at (0.3333, 0.6667, 0.1836), In at (0.1757, 0.3514, 0.6961) and Pd at (0.0000, 0.0000, 0.0000).

=====

Quick look at relative energies in eV/atom: entry A 0.042; entry B 0.000.

=====

Entry A
First-principles (PBE) data for crystalline Na2In2Pd at its relaxed geometry, as listed in Alexandria.

For the volume, the calculation gives 26.24 A^3/atom.

The space group is P4/mbm (No. 127) and the conventional cell measures 7.036, 7.036 and 5.301 Å, with angles of 90.00, 90.00 and 90.00 degrees. The inequivalent atoms are Na at (0.174, 0.326, 0.000), In at (0.149, 0.649, 0.500) and Pd at (0.000, 0.000, 0.500).

=====

Entry B
First-principles (PBE) data for crystalline Na2In2Pd at its relaxed geometry, as listed in Alexandria.

For the volume, the calculation gives 25.39 A^3/atom.

The space group is P2_1/m (No. 11) and the conventional cell measures 3.476, 5.954 and 12.381 Å, with angles of 90.00, 97.80 and 90.00 degrees. The inequivalent atoms are Na at (0.103, 0.250, 0.210), Na at (0.263, 0.750, 0.531), In at (0.352, 0.250, 0.696), In at (0.500, 0.000, 0.000) and Pd at (0.063, 0.750, 0.128).

=====

Quick look at relative energies in eV/atom: entry A 0.053; entry B 0.000.

=====

Entry A
First-principles (PBE) data for crystalline NaIn4Pd at its relaxed geometry, as listed in Alexandria.

For the volume, the calculation gives 23.96 A^3/atom.

The space group is I4/mcm (No. 140) and the conventional cell measures 6.873, 6.873 and 12.174 Å, with angles of 90.00, 90.00 and 90.00 degrees. The inequivalent atoms are Na at (0.000, 0.000, 0.000), In at (0.160, 0.340, 0.141) and Pd at (0.000, 0.000, 0.250).

=====

Entry B
First-principles (PBE) data for crystalline NaIn4Pd at its relaxed geometry, as listed in Alexandria.

For the volume, the calculation gives 26.58 A^3/atom.

The space group is P-1 (No. 2) and the conventional cell measures 6.276, 7.795 and 7.813 Å, with angles of 112.00, 113.58 and 90.54 degrees. The inequivalent atoms are Na at (0.019, 0.251, 0.003), In at (0.105, 0.649, 0.422), In at (0.321, 0.146, 0.421), In at (0.403, 0.552, 0.823), In at (0.420, 0.055, 0.825), Pd at (0.000, 0.000, 0.500) and Pd at (0.500, 0.500, 0.500).

=====

Quick look at relative energies in eV/atom: entry A 0.000; entry B 0.007.

=====

Entry A
First-principles (PBE) data for crystalline Na3InPd at its relaxed geometry, as listed in Alexandria.

For the volume, the calculation gives 31.59 A^3/atom.

The space group is Pm-3m (No. 221) and the conventional cell measures 5.406, 5.406 and 5.406 Å, with angles of 90.00, 90.00 and 90.00 degrees. The inequivalent atoms are Na at (0.000, 0.000, 0.500), In at (0.500, 0.500, 0.500) and Pd at (0.000, 0.000, 0.000).

=====

Entry B
First-principles (PBE) data for crystalline Na3InPd at its relaxed geometry, as listed in Alexandria.

For the volume, the calculation gives 36.79 A^3/atom.

The space group is Pm-3m (No. 221) and the conventional cell measures 5.687, 5.687 and 5.687 Å, with angles of 90.00, 90.00 and 90.00 degrees. The inequivalent atoms are Na at (0.000, 0.000, 0.500), In at (0.000, 0.000, 0.000) and Pd at (0.500, 0.500, 0.500).

=====

Quick look at relative energies in eV/atom: entry A 0.000; entry B 0.428.

=====

Entry A
First-principles (PBE) data for crystalline NaIn3Pd3 at its relaxed geometry, as listed in Alexandria.

For the volume, the calculation gives 29.04 A^3/atom.

The space group is Pm-3n (No. 223) and the conventional cell measures 7.408, 7.408 and 7.408 Å, with angles of 90.00, 90.00 and 90.00 degrees. The inequivalent atoms are Na at (0.000, 0.000, 0.000), In at (0.000, 0.250, 0.500) and Pd at (0.000, 0.500, 0.250).

=====

Entry B
First-principles (PBE) data for crystalline NaIn3Pd3 at its relaxed geometry, as listed in Alexandria.

For the volume, the calculation gives 21.34 A^3/atom.

The space group is R-3 (No. 148, hexagonal axes) and the conventional cell measures 7.9484, 7.9484 and 16.3786 Å, with angles of 90.00, 90.00 and 120.00 degrees. The inequivalent atoms are Na at (0.0000, 0.0000, 0.1644), In at (0.0039, 0.3560, 0.3882) and Pd at (0.0004, 0.2993, 0.5551).

=====

Quick look at relative energies in eV/atom: entry A 0.260; entry B 0.000.

=====

Entry A
First-principles (PBE) data for crystalline NaIn3Pd at its relaxed geometry, as listed in Alexandria.

For the volume, the calculation gives 25.01 A^3/atom.

The space group is P6_3/mmc (No. 194) and the conventional cell measures 7.1138, 7.1138 and 5.7048 Å, with angles of 90.00, 90.00 and 120.00 degrees. The inequivalent atoms are Na at (0.3333, 0.6667, 0.2500), In at (0.1892, 0.3784, 0.7500) and Pd at (0.0000, 0.0000, 0.0000).

=====

Entry B
First-principles (PBE) data for crystalline NaIn3Pd at its relaxed geometry, as listed in Alexandria.

For the volume, the calculation gives 24.44 A^3/atom.

The space group is P2_1 (No. 4) and the conventional cell measures 7.391, 4.377 and 7.965 Å, with angles of 90.00, 108.44 and 90.00 degrees. The inequivalent atoms are Na at (0.194, 0.000, 0.166), In at (0.073, 0.001, 0.657), In at (0.328, 0.501, 0.907), In at (0.352, 0.501, 0.514) and Pd at (0.464, 0.000, 0.742).

=====

Entry C
First-principles (PBE) data for crystalline NaIn3Pd at its relaxed geometry, as listed in Alexandria.

For the volume, the calculation gives 28.73 A^3/atom.

The space group is Pm-3m (No. 221) and the conventional cell measures 5.237, 5.237 and 5.237 Å, with angles of 90.00, 90.00 and 90.00 degrees. The inequivalent atoms are Na at (0.000, 0.000, 0.000), In at (0.000, 0.500, 0.500) and Pd at (0.500, 0.500, 0.500).

=====

Entry D
First-principles (PBE) data for crystalline NaIn3Pd at its relaxed geometry, as listed in Alexandria.

For the volume, the calculation gives 30.12 A^3/atom.

The space group is Pm-3m (No. 221) and the conventional cell measures 5.321, 5.321 and 5.321 Å, with angles of 90.00, 90.00 and 90.00 degrees. The inequivalent atoms are Na at (0.000, 0.000, 0.000), In at (0.000, 0.000, 0.500) and Pd at (0.500, 0.500, 0.500).

=====

Quick look at relative energies in eV/atom: entry A 0.053; entry B 0.000; entry C 0.119; entry D 1.030.